TcSnTeI2 | Alexandria | PBE-GGA | optimized geometry; total energy = -3.167 eV per atom; D(E_F) = 3.40 states/eV/cell; ΔE_f (raw) = 92 kJ/mol of atoms; space group = P4/mmm, No. 123
1.0
-2.266 2.332 4.933
-5.283 0.399 -2.615
-1.361 -5.396 1.926
I Sn Tc Te
2 1 1 1
Direct
0.500 0.000 0.000
0.000 0.500 0.000
0.000 0.000 0.000
0.500 0.500 0.500
0.000 0.000 0.500